Entry 1:
6
Lattice="0.0000 3.9571 3.9571 3.9571 0.0000 3.9571 3.9571 3.9571 0.0000" Properties=species:S:1:pos:R:3 comment="BaTePt4, optimized geometry, DFT PBE-GGA" energy_ev_per_atom=-5.149 e_form_raw_mev_per_atom=-278.1 sg=F-43m pbc="T T T"
Ba 0.0000 0.0000 0.0000
Te 1.9786 1.9786 1.9786
Pt 4.9433 2.9709 2.9709
Pt 2.9709 4.9433 2.9709
Pt 2.9709 2.9709 4.9433
Pt 4.9433 4.9433 4.9433

***

Entry 2:
3
Lattice="-1.7052 1.7052 5.2578 1.7052 -1.7052 5.2578 1.7052 1.7052 -5.2578" Properties=species:S:1:pos:R:3 comment="TbCdNi, optimized geometry, DFT PBE-GGA" ef_mev_per_atom=-235 energy_ev_per_atom=-4.011 sg=I4mm pbc="T T T"
Tb 0.0000 0.0000 0.0000
Cd 0.0000 0.0000 7.4764
Ni 0.0000 0.0000 3.7115

***

Entry 3:
13
Lattice="0.0000 5.4859 5.4859 5.4859 0.0000 5.4859 5.4859 5.4859 0.0000" Properties=species:S:1:pos:R:3 comment="BaTa4Se8, optimized geometry, DFT PBE-GGA" e_above_lowest_polymorph_mev_per_atom=93 energy_ev_per_atom=-6.692 e_form_raw_mev_per_atom=-752.9 sg=F-43m pbc="T T T"
Ba 0.0000 0.0000 0.0000
Ta 4.3466 4.3466 4.3466
Ta 6.6253 6.6253 4.3466
Ta 6.6253 4.3466 6.6253
Ta 4.3466 6.6253 6.6253
Se 6.9042 4.0677 4.0677
Se 1.6530 1.6530 1.6530
Se 3.8329 3.8329 1.6530
Se 3.8329 1.6530 3.8329
Se 1.6530 3.8329 3.8329
Se 4.0677 6.9042 4.0677
Se 4.0677 4.0677 6.9042
Se 6.9042 6.9042 6.9042

***

Entry 4:
5
Lattice="-2.6127 2.6127 4.3347 2.6127 -2.6127 4.3347 2.6127 2.6127 -4.3347" Properties=species:S:1:pos:R:3 comment="Ac2NiN2, optimized geometry, DFT PBE-GGA" energy_ev_per_atom=-6.785 e_form_raw_mev_per_atom=-655.3 sg=I4/mmm pbc="T T T"
Ac 2.6127 0.0000 2.1673
Ac 0.0000 2.6127 2.1673
Ni 0.0000 0.0000 0.0000
N 0.0000 0.0000 1.8211
N 0.0000 0.0000 6.8482

***

Entry 5:
19
Lattice="6.7775 3.9130 4.0858 -6.7775 3.9130 4.0858 0.0000 -7.8260 4.0858" Properties=species:S:1:pos:R:3 comment="Sm12AgHg6, optimized geometry, DFT PBE-GGA" ef_mev_per_atom=-45 energy_ev_per_atom=-3.271 sg=R-3 pbc="T T T"
Sm -6.0041 -1.4454 6.7950
Sm -1.7503 -5.9224 5.4623
Sm -2.6194 -0.3920 4.8121
Sm -4.2538 4.4770 5.4623
Sm 1.6491 -2.0725 4.8121
Sm -0.9703 -2.4644 7.4452
Sm 0.9703 2.4644 4.8121
Sm -1.6491 2.0725 7.4452
Sm 4.2538 -4.4770 6.7950
Sm 2.6194 0.3920 7.4452
Sm 1.7503 5.9224 6.7950
Sm 6.0041 1.4454 5.4623
Ag 0.0000 0.0000 0.0000
Hg -1.1618 -3.1443 4.3552
Hg -2.1421 2.5783 4.3552
Hg -3.3040 -0.5660 7.9021
Hg 3.3040 0.5660 4.3553
Hg 2.1421 -2.5783 7.9021
Hg 1.1618 3.1443 7.9021

***

Entry 6:
5
Lattice="5.7624 0.0000 0.0000 0.0000 5.7624 0.0000 0.0000 0.0000 5.2359" Properties=species:S:1:pos:R:3 comment="GaSbWI2, optimized geometry, DFT PBE-GGA" e_above_lowest_polymorph_mev_per_atom=0 energy_ev_per_atom=-4.001 e_form_raw_mev_per_atom=639.4 sg=P4/mmm pbc="T T T"
Ga 0.0000 0.0000 0.0000
Sb 2.8812 2.8812 0.0000
W 2.8812 2.8812 2.6179
I 0.0000 2.8812 2.6179
I 2.8812 0.0000 2.6179